No. 1
YZrMn2Cu | SCAN | PBEsol geometry

Summary:
E (eV per atom): -21.8157
SG: P4/mmm (123)

Unit cell a=4.635 b=4.635 c=4.785 alpha=90.00 beta=90.00 gamma=90.00
Sites, in units of the cell vectors:
Y1 0.000 0.000 0.000
Zr1 0.500 0.500 0.000
Mn1 0.000 0.500 0.500
Mn2 0.500 0.000 0.500
Cu1 0.500 0.500 0.500

No. 2
YMo | SCAN | PBEsol geometry

Summary:
Energy relative to the lowest polymorph listed for this composition (eV/f.u.): 1.03
SG: P4/mmm (123)

Unit cell a=2.911 b=2.911 c=4.789 alpha=90.00 beta=90.00 gamma=90.00
Sites, in units of the cell vectors:
Y1 0.000 0.000 0.000
Mo1 0.500 0.500 0.500

No. 3
MnAgSb2 | SCAN | PBEsol geometry

Summary:
Uncorrected formation energy (eV per atom): 0.121
SG: Pmmm (47)

Unit cell a=3.036 b=3.611 c=7.303 alpha=90.00 beta=90.00 gamma=90.00
Sites, in units of the cell vectors:
Mn1 0.000 0.000 0.000
Ag1 0.000 0.000 0.500
Sb1 0.500 0.500 0.224
Sb2 0.500 0.500 0.776

No. 4
MnZnMo | SCAN | PBEsol geometry

Summary:
Energy relative to the lowest polymorph listed for this composition (eV/f.u.): 1.23
SG: F-43m (216)

Unit cell a=3.996 b=3.996 c=3.996 alpha=60.00 beta=60.00 gamma=60.00
Sites, in units of the cell vectors:
Mn1 0.000 0.000 0.000
Zn1 0.250 0.250 0.250
Mo1 0.750 0.750 0.750

- What is the formula in the first record?
  YZrMn2Cu